1.
Rb3MnH5 | PBE | optimized geometry

Cell: 7.923 7.923 8.213 Å, 118.84 118.84 90.00°
Site moments in Bohr magnetons follow the coordinates.
Fractional positions:
Rb: 0.683 0.183 0.000  0.02
Rb: 0.317 0.817 0.000  0.02
Rb: 0.817 0.683 0.000  0.02
Rb: 0.183 0.317 0.000  0.02
Rb: 0.250 0.250 0.500  0.01
Rb: 0.750 0.750 0.500  0.01
Mn: 0.750 0.250 0.500  4.12
Mn: 0.250 0.750 0.500  4.12
H: 0.963 0.463 0.678  -0.01
H: 0.715 0.215 0.678  -0.01
H: 0.215 0.963 0.678  -0.01
H: 0.463 0.715 0.678  -0.01
H: 0.037 0.537 0.322  -0.01
H: 0.285 0.785 0.322  -0.01
H: 0.785 0.037 0.322  -0.01
H: 0.537 0.285 0.322  -0.01
H: 0.500 0.500 0.000  0.01
H: 0.000 0.000 0.000  0.01

## Properties
- E (eV/atom) = -3.2936
- N(E_F) (states/eV per atom) = 0.000
- symmetry = I4/mcm, No. 140

=====

2.
Rb3MnH8 | PBE | optimized geometry

Cell: 6.574 8.140 8.140 Å, 120.00 90.00 90.00°
Site moments in Bohr magnetons follow the coordinates.
Fractional positions:
Rb: 0.721 0.665 0.833  0.00
Rb: 0.721 0.167 0.335  0.00
Rb: 0.721 0.167 0.833  0.00
Rb: 0.221 0.335 0.167  0.00
Rb: 0.221 0.833 0.665  0.00
Rb: 0.221 0.833 0.167  0.00
Mn: 0.217 0.333 0.667  2.05
Mn: 0.717 0.667 0.333  2.05
H: 0.050 0.168 0.584  -0.02
H: 0.050 0.416 0.832  -0.02
H: 0.050 0.416 0.584  -0.02
H: 0.550 0.832 0.416  -0.02
H: 0.550 0.584 0.168  -0.02
H: 0.550 0.584 0.416  -0.02
H: 0.771 0.444 0.222  -0.02
H: 0.771 0.778 0.556  -0.02
H: 0.771 0.778 0.222  -0.02
H: 0.271 0.556 0.778  -0.02
H: 0.271 0.222 0.444  -0.02
H: 0.271 0.222 0.778  -0.02
H: 0.459 0.333 0.667  -0.03
H: 0.959 0.667 0.333  -0.03
H: 0.971 0.000 0.000  0.00
H: 0.471 0.000 0.000  0.00

## Properties
- E (eV/atom) = -3.3466
- symmetry = P6_3mc, No. 186

=====

3.
Rb2MnHSe | PBE | optimized geometry

Cell: 5.570 4.386 5.570 Å, 90.00 90.00 90.00°
Site moments in Bohr magnetons follow the coordinates.
Fractional positions:
H: 0.000 0.000 0.000  -0.02
Mn: 0.000 0.500 0.000  4.33
Se: 0.500 0.500 0.500  0.11
Rb: 0.000 0.000 0.500  0.01
Rb: 0.500 0.000 0.000  0.01

## Properties
- E (eV/atom) = -3.5612
- N(E_F) (states/eV per atom) = 0.648
- symmetry = P4/mmm, No. 123